ZnFeO2: optimized geometry, GGA+U.

## Properties
- spin magnetization (μB/atom) = 1.017
- SG = P3m1
- mass density (kg/m3) = 5505
- total DFT energy (no corrections) (eV for the cell shown) = -21.3
- relative energy among the computed polymorphs (meV/atom) = 262

Cell lengths 3.1685, 3.1685, 5.3169 Å; angles 90.00, 90.00, 120.00 degrees
Closest atoms and distances in Å follow each position.
Sites, in units of the cell vectors:
Zn 0.0000 0.0000 0.0000  4 O 1.92-2.07
Fe 0.6667 0.3333 0.5390  3 O 2.06
O 0.0000 0.0000 0.3603  1 Zn 1.92, 3 Fe 2.06
O 0.3333 0.6667 0.8174  3 Zn 2.07